1.
! SrSb2Pd3 | Alexandria | PBE | optimized geometry; values from VASP
! - Raw formation energy: -651 meV/atom
&SYSTEM
  ibrav = 0, nat = 12, ntyp = 3
/
ATOMIC_SPECIES
Sr 87.62 Sr.upf
Sb 121.76 Sb.upf
Pd 106.42 Pd.upf
CELL_PARAMETERS angstrom
8.721 -2.261 0.000
8.721 2.261 0.000
-3.400 0.000 6.947
ATOMIC_POSITIONS crystal
Sr 0.148 0.148 0.220
Sr 0.852 0.852 0.780
Sb 0.191 0.191 0.706
Sb 0.479 0.479 0.162
Sb 0.521 0.521 0.838
Sb 0.809 0.809 0.294
Pd 0.037 0.037 0.696
Pd 0.311 0.311 0.070
Pd 0.403 0.403 0.474
Pd 0.597 0.597 0.526
Pd 0.689 0.689 0.930
Pd 0.963 0.963 0.304

2.
! Sc2SiRu | Alexandria | PBE | optimized geometry; values from VASP
! - Raw formation energy: -567 meV/atom
&SYSTEM
  ibrav = 0, nat = 4, ntyp = 3
/
ATOMIC_SPECIES
Sc 44.96 Sc.upf
Si 28.09 Si.upf
Ru 101.07 Ru.upf
CELL_PARAMETERS angstrom
0.000 3.185 3.185
3.185 0.000 3.185
3.185 3.185 0.000
ATOMIC_POSITIONS crystal
Sc 0.000 0.000 0.000
Sc 0.250 0.250 0.250
Si 0.750 0.750 0.750
Ru 0.500 0.500 0.500

3.
! SbOs3 | Alexandria | PBE | optimized geometry; values from VASP
! - Raw formation energy: 595 meV/atom
&SYSTEM
  ibrav = 0, nat = 4, ntyp = 2
/
ATOMIC_SPECIES
Sb 121.76 Sb.upf
Os 190.23 Os.upf
CELL_PARAMETERS angstrom
-1.996 1.996 3.924
1.996 -1.996 3.924
1.996 1.996 -3.924
ATOMIC_POSITIONS crystal
Sb 0.000 0.000 0.000
Os 0.250 0.750 0.500
Os 0.500 0.500 0.000
Os 0.750 0.250 0.500

4.
! DyPuAl2O8 | Alexandria | PBE | optimized geometry; values from VASP
! - Raw formation energy: -2630 meV/atom
&SYSTEM
  ibrav = 0, nat = 12, ntyp = 4
/
ATOMIC_SPECIES
Dy 162.50 Dy.upf
Pu 244.00 Pu.upf
Al 26.98 Al.upf
O 16.00 O.upf
CELL_PARAMETERS angstrom
-3.435 3.435 3.215
3.435 -3.435 3.215
3.435 3.435 -3.215
ATOMIC_POSITIONS crystal
Dy 0.000 0.000 0.000
Pu 0.750 0.250 0.500
Al 0.250 0.750 0.500
Al 0.500 0.500 0.000
O 0.056 0.377 0.321
O 0.056 0.735 0.679
O 0.123 0.319 0.804
O 0.265 0.944 0.321
O 0.515 0.319 0.196
O 0.623 0.944 0.679
O 0.681 0.485 0.804
O 0.681 0.877 0.196

5.
! Sb5W | Alexandria | PBE | optimized geometry; values from VASP
! - Raw formation energy: 420 meV/atom
&SYSTEM
  ibrav = 0, nat = 6, ntyp = 2
/
ATOMIC_SPECIES
Sb 121.76 Sb.upf
W 183.84 W.upf
CELL_PARAMETERS angstrom
5.436 0.000 0.000
0.000 1.796 8.295
0.000 -1.796 8.295
ATOMIC_POSITIONS crystal
Sb 0.000 0.000 0.000
Sb 0.000 0.267 0.267
Sb 0.500 0.062 0.062
Sb 0.500 0.353 0.353
Sb 0.500 0.702 0.702
W 0.000 0.637 0.637

6.
! K2Np2MnSe6 | Alexandria | PBE | optimized geometry; values from VASP
! - Raw formation energy: -1046 meV/atom
&SYSTEM
  ibrav = 0, nat = 11, ntyp = 4
/
ATOMIC_SPECIES
K 39.10 K.upf
Np 237.00 Np.upf
Mn 54.94 Mn.upf
Se 78.96 Se.upf
CELL_PARAMETERS angstrom
3.521 -6.113 0.000
3.521 6.113 0.000
-2.333 0.000 7.859
ATOMIC_POSITIONS crystal
K 0.166 0.834 0.000
K 0.834 0.166 0.000
Np 0.334 0.666 0.500
Np 0.666 0.334 0.500
Mn 0.000 0.000 0.500
Se 0.065 0.397 0.696
Se 0.263 0.263 0.305
Se 0.397 0.065 0.696
Se 0.603 0.935 0.304
Se 0.737 0.737 0.695
Se 0.935 0.603 0.304

7.
! BaHfIO2 | Alexandria | PBE | optimized geometry; values from VASP
! - Raw formation energy: -1851 meV/atom
&SYSTEM
  ibrav = 0, nat = 5, ntyp = 4
/
ATOMIC_SPECIES
Ba 137.33 Ba.upf
Hf 178.49 Hf.upf
I 126.90 I.upf
O 16.00 O.upf
CELL_PARAMETERS angstrom
4.366 0.000 0.000
0.000 4.366 0.000
0.000 0.000 5.926
ATOMIC_POSITIONS crystal
Ba 0.000 0.000 0.000
Hf 0.500 0.500 0.500
I 0.500 0.500 0.000
O 0.000 0.500 0.500
O 0.500 0.000 0.500

8.
! NbGaGe2O8 | Alexandria | PBE | optimized geometry; values from VASP
! - Raw formation energy: -1803 meV/atom
&SYSTEM
  ibrav = 0, nat = 12, ntyp = 4
/
ATOMIC_SPECIES
Nb 92.91 Nb.upf
Ga 69.72 Ga.upf
Ge 72.64 Ge.upf
O 16.00 O.upf
CELL_PARAMETERS angstrom
-3.239 3.239 3.188
3.239 -3.239 3.188
3.239 3.239 -3.188
ATOMIC_POSITIONS crystal
Nb 0.000 0.000 0.000
Ga 0.750 0.250 0.500
Ge 0.250 0.750 0.500
Ge 0.500 0.500 0.000
O 0.061 0.366 0.304
O 0.061 0.757 0.696
O 0.108 0.299 0.809
O 0.243 0.939 0.304
O 0.491 0.299 0.191
O 0.634 0.939 0.696
O 0.701 0.509 0.809
O 0.701 0.892 0.191

9.
! Ta2WBr | Alexandria | PBE | optimized geometry; values from VASP
! - Raw formation energy: 698 meV/atom
&SYSTEM
  ibrav = 0, nat = 4, ntyp = 3
/
ATOMIC_SPECIES
Ta 180.95 Ta.upf
W 183.84 W.upf
Br 79.90 Br.upf
CELL_PARAMETERS angstrom
3.042 -3.790 0.000
3.042 3.790 0.000
-0.412 0.000 3.108
ATOMIC_POSITIONS crystal
Ta 0.000 0.500 0.000
Ta 0.500 0.000 0.000
W 0.000 0.000 0.500
Br 0.500 0.500 0.500

10.
! NiSb2Pb | Alexandria | PBE | optimized geometry; values from VASP
! - Raw formation energy: -68 meV/atom
&SYSTEM
  ibrav = 0, nat = 4, ntyp = 3
/
ATOMIC_SPECIES
Ni 58.69 Ni.upf
Sb 121.76 Sb.upf
Pb 207.20 Pb.upf
CELL_PARAMETERS angstrom
2.002 1.156 7.323
-2.002 1.156 7.323
0.000 -2.312 7.323
ATOMIC_POSITIONS crystal
Ni 0.000 0.000 0.000
Sb 0.384 0.384 0.384
Sb 0.610 0.610 0.610
Pb 0.155 0.155 0.155

11.
! AlSbPt2 | Alexandria | PBE | optimized geometry; values from VASP
! - Raw formation energy: -376 meV/atom
&SYSTEM
  ibrav = 0, nat = 8, ntyp = 3
/
ATOMIC_SPECIES
Al 26.98 Al.upf
Sb 121.76 Sb.upf
Pt 195.08 Pt.upf
CELL_PARAMETERS angstrom
-2.124 2.124 8.480
2.124 -2.124 8.480
2.124 2.124 -8.480
ATOMIC_POSITIONS crystal
Al 0.000 0.000 0.000
Al 0.750 0.250 0.500
Sb 0.250 0.750 0.500
Sb 0.500 0.500 0.000
Pt 0.112 0.625 0.987
Pt 0.375 0.362 0.487
Pt 0.638 0.125 0.013
Pt 0.875 0.888 0.513

12.
! AlInCo2N | Alexandria | PBE | optimized geometry; values from VASP
! - Raw formation energy: 2305 meV/atom
&SYSTEM
  ibrav = 0, nat = 5, ntyp = 4
/
ATOMIC_SPECIES
Al 26.98 Al.upf
In 114.82 In.upf
Co 58.93 Co.upf
N 14.01 N.upf
CELL_PARAMETERS angstrom
4.855 0.000 0.000
0.000 4.855 0.000
0.000 0.000 5.062
ATOMIC_POSITIONS crystal
Al 0.000 0.000 0.000
In 0.000 0.000 0.500
Co 0.000 0.500 0.500
Co 0.500 0.000 0.500
N 0.500 0.500 0.000

13.
! YNp2Sn9 | Alexandria | PBE | optimized geometry; values from VASP
! - ΔH_f (0 K): -23 kJ per mole of atoms
&SYSTEM
  ibrav = 0, nat = 12, ntyp = 3
/
ATOMIC_SPECIES
Y 88.91 Y.upf
Np 237.00 Np.upf
Sn 118.71 Sn.upf
CELL_PARAMETERS angstrom
4.675 0.000 0.000
0.000 4.675 0.000
0.000 0.000 13.978
ATOMIC_POSITIONS crystal
Y 0.000 0.000 0.000
Np 0.000 0.000 0.336
Np 0.000 0.000 0.664
Sn 0.000 0.500 0.169
Sn 0.000 0.500 0.500
Sn 0.000 0.500 0.831
Sn 0.500 0.000 0.169
Sn 0.500 0.000 0.500
Sn 0.500 0.000 0.831
Sn 0.500 0.500 0.000
Sn 0.500 0.500 0.334
Sn 0.500 0.500 0.666

14.
! NaSn4S5 | Alexandria | PBE | optimized geometry; values from VASP
! - Raw formation energy: -540 meV/atom
&SYSTEM
  ibrav = 0, nat = 10, ntyp = 3
/
ATOMIC_SPECIES
Na 22.99 Na.upf
Sn 118.71 Sn.upf
S 32.06 S.upf
CELL_PARAMETERS angstrom
-2.032 2.851 10.283
2.032 -2.851 10.283
2.032 2.851 -10.283
ATOMIC_POSITIONS crystal
Na 0.000 0.000 0.000
Sn 0.196 0.196 0.000
Sn 0.403 0.403 0.000
Sn 0.597 0.597 0.000
Sn 0.804 0.804 0.000
S 0.104 0.604 0.500
S 0.305 0.805 0.500
S 0.500 0.000 0.500
S 0.695 0.195 0.500
S 0.896 0.396 0.500

15.
! SmZnFeGe2 | Alexandria | PBE | optimized geometry; values from VASP
! - ΔH_f (0 K): -35 kJ per mole of atoms
&SYSTEM
  ibrav = 0, nat = 10, ntyp = 4
/
ATOMIC_SPECIES
Sm 150.36 Sm.upf
Zn 65.41 Zn.upf
Fe 55.84 Fe.upf
Ge 72.64 Ge.upf
CELL_PARAMETERS angstrom
5.496 0.000 0.000
0.000 5.653 0.000
0.000 0.000 5.778
ATOMIC_POSITIONS crystal
Sm 0.250 0.000 0.231
Sm 0.750 0.000 0.769
Zn 0.250 0.500 0.375
Zn 0.750 0.500 0.625
Fe 0.000 0.500 0.000
Fe 0.500 0.500 0.000
Ge 0.250 0.242 0.748
Ge 0.250 0.758 0.748
Ge 0.750 0.242 0.252
Ge 0.750 0.758 0.252

16.
! Hg5Bi12Sb3 | Alexandria | PBE | optimized geometry; values from VASP
! - Raw formation energy: 270 meV/atom
&SYSTEM
  ibrav = 0, nat = 80, ntyp = 3
/
ATOMIC_SPECIES
Hg 200.59 Hg.upf
Bi 208.98 Bi.upf
Sb 121.76 Sb.upf
CELL_PARAMETERS angstrom
-9.198 9.198 9.198
9.198 -9.198 9.198
9.198 9.198 -9.198
ATOMIC_POSITIONS crystal
Hg 0.000 0.000 0.000
Hg 0.000 0.000 0.500
Hg 0.000 0.500 0.000
Hg 0.000 0.500 0.500
Hg 0.125 0.750 0.875
Hg 0.125 0.875 0.250
Hg 0.250 0.125 0.875
Hg 0.250 0.625 0.375
Hg 0.375 0.250 0.625
Hg 0.375 0.625 0.750
Hg 0.500 0.000 0.000
Hg 0.500 0.000 0.500
Hg 0.500 0.500 0.000
Hg 0.500 0.500 0.500
Hg 0.625 0.375 0.250
Hg 0.625 0.750 0.375
Hg 0.750 0.375 0.625
Hg 0.750 0.875 0.125
Hg 0.875 0.125 0.750
Hg 0.875 0.250 0.125
Bi 0.071 0.233 0.154
Bi 0.071 0.338 0.918
Bi 0.080 0.733 0.662
Bi 0.080 0.846 0.418
Bi 0.082 0.654 0.420
Bi 0.082 0.929 0.662
Bi 0.154 0.071 0.233
Bi 0.154 0.582 0.920
Bi 0.162 0.233 0.580
Bi 0.162 0.429 0.582
Bi 0.233 0.154 0.071
Bi 0.233 0.580 0.162
Bi 0.267 0.338 0.920
Bi 0.267 0.429 0.346
Bi 0.338 0.918 0.071
Bi 0.338 0.920 0.267
Bi 0.346 0.267 0.429
Bi 0.346 0.580 0.918
Bi 0.418 0.080 0.846
Bi 0.418 0.838 0.571
Bi 0.420 0.082 0.654
Bi 0.420 0.838 0.767
Bi 0.429 0.346 0.267
Bi 0.429 0.582 0.162
Bi 0.571 0.418 0.838
Bi 0.571 0.654 0.733
Bi 0.580 0.162 0.233
Bi 0.580 0.918 0.346
Bi 0.582 0.162 0.429
Bi 0.582 0.920 0.154
Bi 0.654 0.420 0.082
Bi 0.654 0.733 0.571
Bi 0.662 0.080 0.733
Bi 0.662 0.082 0.929
Bi 0.733 0.571 0.654
Bi 0.733 0.662 0.080
Bi 0.767 0.420 0.838
Bi 0.767 0.846 0.929
Bi 0.838 0.571 0.418
Bi 0.838 0.767 0.420
Bi 0.846 0.418 0.080
Bi 0.846 0.929 0.767
Bi 0.918 0.071 0.338
Bi 0.918 0.346 0.580
Bi 0.920 0.154 0.582
Bi 0.920 0.267 0.338
Bi 0.929 0.662 0.082
Bi 0.929 0.767 0.846
Sb 0.125 0.250 0.375
Sb 0.125 0.375 0.750
Sb 0.250 0.375 0.125
Sb 0.250 0.875 0.625
Sb 0.375 0.125 0.250
Sb 0.375 0.750 0.125
Sb 0.625 0.250 0.875
Sb 0.625 0.875 0.750
Sb 0.750 0.125 0.375
Sb 0.750 0.625 0.875
Sb 0.875 0.625 0.250
Sb 0.875 0.750 0.625